Here is a geometry-optimized MgZr2Ir structure from Alexandria. Energies are from PBE.

Geometry as CIF:
```
data_MgZr2Ir
_chemical_formula_sum 'Mg1 Zr2 Ir1'
_symmetry_space_group_name_H-M 'P 1'
_symmetry_Int_Tables_number 1
_cell_length_a 3.1670
_cell_length_b 4.5507
_cell_length_c 5.6499
_cell_angle_alpha 90.00
_cell_angle_beta 103.98
_cell_angle_gamma 90.00
loop_
_symmetry_equiv_pos_as_xyz
'x,y,z'
loop_
_atom_site_label
_atom_site_fract_x
_atom_site_fract_y
_atom_site_fract_z
_atom_site_occupancy
Mg1 0.0000 0.0000 0.0000 1
Zr1 0.3102 0.0000 0.5421 1
Zr2 0.6055 0.5000 0.2165 1
Ir1 0.9763 0.5000 0.7046 1
```

## Properties
Calculated formation energy = -0.280 eV/atom
SG = No. 6